Run A
DFT (GGA-PBE) results for a relaxed TeMoAuN2 crystal.

Lattice parameters (Å, degrees): 3.9143 3.9143 7.5421 90.00 90.00 90.00
Fractional positions:
Te 0.0000 0.0000 0.0000
Mo 0.5000 0.5000 0.0000
Au 0.0000 0.0000 0.5000
N 0.0000 0.5000 0.5000
N 0.5000 0.0000 0.5000

=====

Run B
DFT (GGA-PBE) results for a relaxed TeMoAuN2 crystal.

Lattice parameters (Å, degrees): 3.9220 3.9220 5.8645 90.00 90.00 90.00
Fractional positions:
Te 0.0000 0.0000 0.0000
Mo 0.0000 0.0000 0.5000
Au 0.5000 0.5000 0.0000
N 0.0000 0.5000 0.5000
N 0.5000 0.0000 0.5000

=====

The least stable of them is run A.

=====

Run A
DFT (GGA-PBE) results for a relaxed NaMoAu2 crystal.

Lattice parameters (Å, degrees): 9.9374 9.9374 9.9374 155.16 155.16 35.42
Fractional positions:
Na 0.0000 0.0000 0.0000
Na 0.7500 0.2500 0.5000
Mo 0.2500 0.7500 0.5000
Mo 0.5000 0.5000 0.0000
Au 0.1323 0.6250 0.0073
Au 0.3750 0.3823 0.5073
Au 0.6177 0.1250 0.9927
Au 0.8750 0.8677 0.4927

=====

Run B
DFT (GGA-PBE) results for a relaxed NaMoAu2 crystal.

Lattice parameters (Å, degrees): 4.7148 4.7148 4.7148 60.00 60.00 60.00
Fractional positions:
Na 0.0000 0.0000 0.0000
Mo 0.5000 0.5000 0.5000
Au 0.2500 0.2500 0.2500
Au 0.7500 0.7500 0.7500

=====

The least stable of them is run A.

=====

Run A
DFT (GGA-PBE) results for a relaxed NbMo3Au crystal.

Lattice parameters (Å, degrees): 4.7931 4.7931 4.7931 90.00 90.00 90.00
Fractional positions:
Nb 0.0000 0.0000 0.0000
Mo 0.0000 0.5000 0.5000
Mo 0.5000 0.0000 0.5000
Mo 0.5000 0.5000 0.0000
Au 0.5000 0.5000 0.5000

=====

Run B
DFT (GGA-PBE) results for a relaxed NbMo3Au crystal.

Lattice parameters (Å, degrees): 4.7174 4.7174 4.7174 90.00 90.00 90.00
Fractional positions:
Nb 0.0000 0.0000 0.0000
Mo 0.0000 0.0000 0.5000
Mo 0.0000 0.5000 0.0000
Mo 0.5000 0.0000 0.0000
Au 0.5000 0.5000 0.5000

=====

The least stable of them is run A.

=====

Run A
DFT (GGA-PBE) results for a relaxed NbMo2Au crystal.

Lattice parameters (Å, degrees): 4.5754 4.5754 4.5754 60.00 60.00 60.00
Fractional positions:
Nb 0.0000 0.0000 0.0000
Mo 0.2500 0.2500 0.2500
Mo 0.7500 0.7500 0.7500
Au 0.5000 0.5000 0.5000

=====

Run B
DFT (GGA-PBE) results for a relaxed NbMo2Au crystal.

Lattice parameters (Å, degrees): 10.1999 10.1999 10.1999 158.19 158.19 31.04
Fractional positions:
Nb 0.0000 0.0000 0.0000
Nb 0.7500 0.2500 0.5000
Mo 0.1036 0.6250 0.9786
Mo 0.3750 0.3536 0.4786
Mo 0.6464 0.1250 0.0214
Mo 0.8750 0.8964 0.5214
Au 0.2500 0.7500 0.5000
Au 0.5000 0.5000 0.0000

=====

The least stable of them is run B.

=====

Run A
DFT (GGA-PBE) results for a relaxed Nb3MoAu crystal.

Lattice parameters (Å, degrees): 4.7917 4.7917 4.7917 90.00 90.00 90.00
Fractional positions:
Nb 0.0000 0.0000 0.5000
Nb 0.0000 0.5000 0.0000
Nb 0.5000 0.0000 0.0000
Mo 0.0000 0.0000 0.0000
Au 0.5000 0.5000 0.5000

=====

Run B
DFT (GGA-PBE) results for a relaxed Nb3MoAu crystal.

Lattice parameters (Å, degrees): 4.9102 4.9102 4.9102 90.00 90.00 90.00
Fractional positions:
Nb 0.0000 0.0000 0.5000
Nb 0.0000 0.5000 0.0000
Nb 0.5000 0.0000 0.0000
Mo 0.5000 0.5000 0.5000
Au 0.0000 0.0000 0.0000

=====

The least stable of them is run B.

=====

Run A
DFT (GGA-PBE) results for a relaxed NbMoAu crystal.

Lattice parameters (Å, degrees): 3.1420 3.1330 10.6826 90.00 90.06 90.00
Fractional positions:
Nb 0.2491 0.2500 0.2357
Nb 0.7509 0.7500 0.7643
Mo 0.2493 0.2500 0.9320
Mo 0.7507 0.7500 0.0680
Au 0.2505 0.2500 0.5906
Au 0.7495 0.7500 0.4094

=====

Run B
DFT (GGA-PBE) results for a relaxed NbMoAu crystal.

Lattice parameters (Å, degrees): 5.2643 5.2643 5.6750 120.46 120.46 54.34
Fractional positions:
Nb 0.1709 0.1709 0.2681
Nb 0.8291 0.8291 0.7319
Mo 0.4875 0.4875 0.7578
Mo 0.5125 0.5125 0.2422
Au 0.1616 0.1616 0.7665
Au 0.8384 0.8384 0.2335

=====

The least stable of them is run B.

=====

Run A
DFT (GGA-PBE) results for a relaxed NiMoAu2 crystal.

Lattice parameters (Å, degrees): 2.8095 2.8095 7.8530 90.00 90.00 90.00
Fractional positions:
Ni 0.0000 0.0000 0.0000
Mo 0.0000 0.0000 0.5000
Au 0.5000 0.5000 0.2344
Au 0.5000 0.5000 0.7656

=====

Run B
DFT (GGA-PBE) results for a relaxed NiMoAu2 crystal.

Lattice parameters (Å, degrees): 4.0011 4.0011 4.0575 90.00 90.00 90.00
Fractional positions:
Ni 0.0000 0.0000 0.0000
Mo 0.5000 0.5000 0.0000
Au 0.0000 0.5000 0.5000
Au 0.5000 0.0000 0.5000

=====

The least stable of them is run B.

=====

Run A
DFT (GGA-PBE) results for a relaxed NiMoAu2 crystal.

Lattice parameters (Å, degrees): 4.8044 4.8044 5.0037 99.05 99.05 33.52
Fractional positions:
Ni 0.0000 0.0000 0.0000
Mo 0.7353 0.7353 0.2124
Au 0.2508 0.2508 0.7373
Au 0.4901 0.4901 0.4637

=====

Run B
DFT (GGA-PBE) results for a relaxed NiMoAu2 crystal.

Lattice parameters (Å, degrees): 9.1177 9.1177 9.1177 18.00 18.00 18.00
Fractional positions:
Ni 0.0000 0.0000 0.0000
Mo 0.5000 0.5000 0.5000
Au 0.2539 0.2539 0.2539
Au 0.7461 0.7461 0.7461

=====

Run C
DFT (GGA-PBE) results for a relaxed NiMoAu2 crystal.

Lattice parameters (Å, degrees): 4.8527 4.8527 4.9399 98.68 98.68 33.14
Fractional positions:
Ni 0.0000 0.0000 0.0000
Mo 0.5000 0.5000 0.5000
Au 0.2518 0.2518 0.7533
Au 0.7482 0.7482 0.2467

=====

Run D
DFT (GGA-PBE) results for a relaxed NiMoAu2 crystal.

Lattice parameters (Å, degrees): 4.7724 4.7724 4.7724 129.82 129.82 73.70
Fractional positions:
Ni 0.0000 0.0000 0.0000
Mo 0.7500 0.2500 0.5000
Au 0.2500 0.7500 0.5000
Au 0.5000 0.5000 0.0000

=====

The least stable of them is run D.

=====

Run A
DFT (GGA-PBE) results for a relaxed NiMoAu2 crystal.

Lattice parameters (Å, degrees): 4.4657 4.4657 4.4657 60.00 60.00 60.00
Fractional positions:
Ni 0.0000 0.0000 0.0000
Mo 0.7500 0.7500 0.7500
Au 0.2500 0.2500 0.2500
Au 0.5000 0.5000 0.5000

=====

Run B
DFT (GGA-PBE) results for a relaxed NiMoAu2 crystal.

Lattice parameters (Å, degrees): 2.8044 4.7359 4.8433 90.00 90.00 90.00
Fractional positions:
Ni 0.0000 0.0000 0.0000
Mo 0.5000 0.5000 0.0000
Au 0.0000 0.5000 0.5000
Au 0.5000 0.0000 0.5000

=====

The least stable of them is run B.

=====

Run A
DFT (GGA-PBE) results for a relaxed NiMoAu2 crystal.

Lattice parameters (Å, degrees): 4.8219 4.8219 2.7747 90.00 90.00 90.00
Fractional positions:
Ni 0.0000 0.0000 0.0000
Mo 0.5000 0.5000 0.0000
Au 0.0000 0.5000 0.5000
Au 0.5000 0.0000 0.5000

=====

Run B
DFT (GGA-PBE) results for a relaxed NiMoAu2 crystal.

Lattice parameters (Å, degrees): 2.7656 3.9529 5.7342 90.00 90.00 90.00
Fractional positions:
Ni 0.0000 0.0000 0.0000
Mo 0.0000 0.0000 0.5000
Au 0.5000 0.5000 0.2436
Au 0.5000 0.5000 0.7564

=====

Run C
DFT (GGA-PBE) results for a relaxed NiMoAu2 crystal.

Lattice parameters (Å, degrees): 4.7435 4.7435 4.7435 128.98 128.98 75.04
Fractional positions:
Ni 0.0000 0.0000 0.0000
Mo 0.5000 0.5000 0.0000
Au 0.2500 0.7500 0.5000
Au 0.7500 0.2500 0.5000

=====

Run D
DFT (GGA-PBE) results for a relaxed NiMoAu2 crystal.

Lattice parameters (Å, degrees): 5.7444 5.7444 5.7444 102.27 102.27 125.09
Fractional positions:
Ni 0.0000 0.0000 0.0000
Ni 0.7500 0.2500 0.5000
Mo 0.2500 0.7500 0.5000
Mo 0.5000 0.5000 0.0000
Au 0.1030 0.6250 0.9780
Au 0.3750 0.3530 0.4780
Au 0.6470 0.1250 0.0220
Au 0.8750 0.8970 0.5220

=====

The least stable of them is run D.

=====

Run A
DFT (GGA-PBE) results for a relaxed NiMoAu2 crystal.

Lattice parameters (Å, degrees): 4.9957 4.9957 2.7508 90.00 90.00 112.93
Fractional positions:
Ni 0.0000 0.0000 0.0000
Mo 0.5000 0.5000 0.0000
Au 0.0000 0.5000 0.5000
Au 0.5000 0.0000 0.5000

=====

Run B
DFT (GGA-PBE) results for a relaxed NiMoAu2 crystal.

Lattice parameters (Å, degrees): 5.5940 5.5940 5.5940 151.28 130.19 58.51
Fractional positions:
Ni 0.0000 0.0000 0.0000
Mo 0.7912 0.2912 0.5000
Au 0.2329 0.7329 0.5000
Au 0.5171 0.5171 0.0000

=====

The least stable of them is run A.

=====

Run A
DFT (GGA-PBE) results for a relaxed NiMoAu2 crystal.

Lattice parameters (Å, degrees): 2.7990 2.7990 7.9812 90.00 90.00 90.00
Fractional positions:
Ni 0.0000 0.0000 0.0000
Mo 0.5000 0.5000 0.7922
Au 0.0000 0.0000 0.5247
Au 0.5000 0.5000 0.2379

=====

Run B
DFT (GGA-PBE) results for a relaxed NiMoAu2 crystal.

Lattice parameters (Å, degrees): 4.9341 2.7528 4.9720 90.00 109.91 90.00
Fractional positions:
Ni 0.0000 0.0000 0.0000
Mo 0.5000 0.5000 0.0000
Au 0.0000 0.5000 0.5000
Au 0.5000 0.0000 0.5000

=====

Run C
DFT (GGA-PBE) results for a relaxed NiMoAu2 crystal.

Lattice parameters (Å, degrees): 5.4658 5.4658 5.4658 149.91 129.12 60.25
Fractional positions:
Ni 0.0000 0.0000 0.0000
Mo 0.5000 0.5000 0.0000
Au 0.2307 0.7307 0.5000
Au 0.7693 0.2693 0.5000

=====

The least stable of them is run C.